[1]
This record from Alexandria describes crystalline CuAu3 at its relaxed geometry. The functional is PBE-GGA.

a = 4.0584 Å, b = 4.0584 Å, c = 4.0584 Å
α = 90.00°, β = 90.00°, γ = 90.00°
Element x y z (fractional)
Cu: 0.0000 0.0000 0.0000
Au: 0.0000 0.5000 0.5000
Au: 0.5000 0.0000 0.5000
Au: 0.5000 0.5000 0.0000

Summary:
Fermi-level density of states = 1.80 states/eV per cell
calculated total energy = -3.490 eV/atom
theoretical density = 16.26 Mg/m³
spin magnetization = 0.00 μB per formula unit



[2]
This record from Alexandria describes crystalline CuAu5 at its relaxed geometry. The functional is PBE-GGA.

a = 5.0052 Å, b = 5.0052 Å, c = 4.7967 Å
α = 90.00°, β = 90.00°, γ = 120.00°
Element x y z (fractional)
Cu: 0.0000 0.0000 0.0000
Au: 0.0000 0.6732 0.5000
Au: 0.3268 0.3268 0.5000
Au: 0.3333 0.6667 0.0000
Au: 0.6667 0.3333 0.0000
Au: 0.6732 0.0000 0.5000

Summary:
Fermi-level density of states = 2.12 states/eV per cell
calculated total energy = -3.406 eV/atom
theoretical density = 16.73 Mg/m³
spin magnetization = 0.00 μB per formula unit



[3]
This record from Alexandria describes crystalline Cu8Au3 at its relaxed geometry. The functional is PBE-GGA.

a = 4.6718 Å, b = 4.6718 Å, c = 9.6320 Å
α = 103.14°, β = 103.14°, γ = 47.84°
Element x y z (fractional)
Cu: 0.0449 0.0449 0.3199
Cu: 0.1380 0.1380 0.9533
Cu: 0.2256 0.2256 0.5890
Cu: 0.3193 0.3193 0.2285
Cu: 0.6807 0.6807 0.7715
Cu: 0.7744 0.7744 0.4110
Cu: 0.8620 0.8620 0.0467
Cu: 0.9551 0.9551 0.6801
Au: 0.4048 0.4048 0.8571
Au: 0.5000 0.5000 0.5000
Au: 0.5952 0.5952 0.1429

Summary:
Fermi-level density of states = 3.67 states/eV per cell
calculated total energy = -3.903 eV/atom
theoretical density = 12.09 Mg/m³
spin magnetization = 0.00 μB per formula unit



[4]
This record from Alexandria describes crystalline Cu4Au at its relaxed geometry. The functional is PBE-GGA.

a = 7.1732 Å, b = 7.1732 Å, c = 7.1732 Å
α = 109.47°, β = 109.47°, γ = 109.47°
Element x y z (fractional)
Cu: 0.0000 0.0000 0.2188
Cu: 0.0000 0.2188 0.0000
Cu: 0.0000 0.3505 0.3505
Cu: 0.0000 0.6495 0.6495
Cu: 0.2188 0.0000 0.0000
Cu: 0.2500 0.5000 0.7500
Cu: 0.2500 0.7500 0.5000
Cu: 0.3505 0.0000 0.3505
Cu: 0.3505 0.3505 0.0000
Cu: 0.5000 0.2500 0.7500
Cu: 0.5000 0.7500 0.2500
Cu: 0.6495 0.0000 0.6495
Cu: 0.6495 0.6495 0.0000
Cu: 0.7500 0.2500 0.5000
Cu: 0.7500 0.5000 0.2500
Cu: 0.7812 0.7812 0.7812
Au: 0.0000 0.0000 0.5867
Au: 0.0000 0.5867 0.0000
Au: 0.4133 0.4133 0.4133
Au: 0.5867 0.0000 0.0000

Summary:
Fermi-level density of states = 6.91 states/eV per cell
calculated total energy = -3.757 eV/atom
theoretical density = 10.55 Mg/m³
spin magnetization = 0.00 μB per formula unit



[5]
This record from Alexandria describes crystalline CuAu2 at its relaxed geometry. The functional is PBE-GGA.

a = 4.5411 Å, b = 4.5411 Å, c = 5.4935 Å
α = 90.00°, β = 90.00°, γ = 120.00°
Element x y z (fractional)
Cu: 0.3333 0.6667 0.2500
Cu: 0.6667 0.3333 0.7500
Au: 0.0000 0.0000 0.0000
Au: 0.0000 0.0000 0.5000
Au: 0.3333 0.6667 0.7500
Au: 0.6667 0.3333 0.2500

Summary:
Fermi-level density of states = 1.69 states/eV per cell
calculated total energy = -3.543 eV/atom
theoretical density = 15.49 Mg/m³
spin magnetization = 0.00 μB per formula unit



[6]
This record from Alexandria describes crystalline CuAu2 at its relaxed geometry. The functional is PBE-GGA.

a = 6.8812 Å, b = 6.8812 Å, c = 4.5021 Å
α = 90.00°, β = 90.00°, γ = 152.94°
Element x y z (fractional)
Cu: 0.0774 0.9226 0.7500
Cu: 0.9226 0.0774 0.2500
Au: 0.2636 0.7364 0.2500
Au: 0.4206 0.5794 0.7500
Au: 0.5794 0.4206 0.2500
Au: 0.7364 0.2636 0.7500

Summary:
Fermi-level density of states = 1.68 states/eV per cell
calculated total energy = -3.564 eV/atom
theoretical density = 15.67 Mg/m³
spin magnetization = 0.00 μB per formula unit



[7]
This record from Alexandria describes crystalline Cu3Au at its relaxed geometry. The functional is PBE-GGA.

a = 5.3849 Å, b = 5.3849 Å, c = 4.3822 Å
α = 90.00°, β = 90.00°, γ = 120.13°
Element x y z (fractional)
Cu: 0.0812 0.4004 0.7500
Cu: 0.0875 0.9125 0.7500
Cu: 0.4004 0.0812 0.2500
Cu: 0.5996 0.9188 0.7500
Cu: 0.9125 0.0875 0.2500
Cu: 0.9188 0.5996 0.2500
Au: 0.4034 0.5966 0.2500
Au: 0.5966 0.4034 0.7500

Summary:
Fermi-level density of states = 4.27 states/eV per cell
calculated total energy = -3.868 eV/atom
theoretical density = 11.71 Mg/m³
spin magnetization = 0.00 μB per formula unit



[8]
This record from Alexandria describes crystalline Cu7Au at its relaxed geometry. The functional is PBE-GGA.

a = 5.2548 Å, b = 5.2548 Å, c = 5.2548 Å
α = 60.00°, β = 60.00°, γ = 60.00°
Element x y z (fractional)
Cu: 0.0000 0.0000 0.0000
Cu: 0.0000 0.0000 0.5000
Cu: 0.0000 0.5000 0.0000
Cu: 0.0000 0.5000 0.5000
Cu: 0.5000 0.0000 0.0000
Cu: 0.5000 0.0000 0.5000
Cu: 0.5000 0.5000 0.0000
Au: 0.5000 0.5000 0.5000

Summary:
Fermi-level density of states = 5.33 states/eV per cell
calculated total energy = -3.976 eV/atom
theoretical density = 10.39 Mg/m³
spin magnetization = 0.00 μB per formula unit